# 1
DFT (PBE-GGA) results for a relaxed structure of Ca3InIr.

abc: 5.4727 5.4727 5.4727
angles: 90.00 90.00 90.00
Fractional positions:
Ir 0.0000 0.0000 0.0000
In 0.5000 0.5000 0.5000
Ca 0.5000 0.0000 0.0000
Ca 0.0000 0.5000 0.0000
Ca 0.0000 0.0000 0.5000

ΔE to the lowest computed polymorph: 137 meV per atom
DOS at the Fermi energy: 3.24 states/eV/cell
formation energy: -221 meV per atom


# 2
DFT (PBE-GGA) results for a relaxed structure of KCa2InIr.

abc: 5.5837 5.5837 5.3378
angles: 90.00 90.00 90.00
Fractional positions:
K 0.5000 0.5000 0.5000
In 0.0000 0.0000 0.5000
Ir 0.0000 0.0000 0.0000
Ca 0.0000 0.5000 0.0000
Ca 0.5000 0.0000 0.0000

DOS at the Fermi energy: 1.52 states/eV/cell
formation energy: -228 meV per atom


# 3
DFT (PBE-GGA) results for a relaxed structure of KCaIn2Ir.

abc: 5.2847 5.2847 5.4796
angles: 90.00 90.00 90.00
Fractional positions:
In 0.5000 0.0000 0.0000
In 0.0000 0.5000 0.0000
K 0.5000 0.5000 0.5000
Ir 0.0000 0.0000 0.0000
Ca 0.0000 0.0000 0.5000

DOS at the Fermi energy: 2.85 states/eV/cell
formation energy: -235 meV per atom


# 4
DFT (PBE-GGA) results for a relaxed structure of Ca2LaInIr.

abc: 5.5371 5.5371 5.4631
angles: 90.00 90.00 90.00
Fractional positions:
Ir 0.0000 0.0000 0.0000
Ca 0.5000 0.0000 0.0000
Ca 0.0000 0.5000 0.0000
La 0.0000 0.0000 0.5000
In 0.5000 0.5000 0.5000

DOS at the Fermi energy: 4.65 states/eV/cell
formation energy: -362 meV per atom


# 5
DFT (PBE-GGA) results for a relaxed structure of LiCa2InIr.

abc: 5.4688 5.4688 5.2258
angles: 90.00 90.00 90.00
Fractional positions:
Ca 0.0000 0.5000 0.0000
Ca 0.5000 0.0000 0.0000
Li 0.5000 0.5000 0.5000
Ir 0.0000 0.0000 0.0000
In 0.0000 0.0000 0.5000

DOS at the Fermi energy: 2.60 states/eV/cell
formation energy: -195 meV per atom


# 6
DFT (PBE-GGA) results for a relaxed structure of LiCaInIr.

abc: 4.7767 4.7767 4.7767
angles: 60.00 60.00 60.00
Fractional positions:
Li 0.0000 0.0000 0.0000
Ca 0.2500 0.2500 0.2500
In 0.7500 0.7500 0.7500
Ir 0.5000 0.5000 0.5000

DOS at the Fermi energy: 1.46 states/eV/cell
formation energy: -329 meV per atom